{"formula": "RbHg3C", "functional": "PBE", "state": "relaxed", "spacegroup": "No. 221", "total_energy_ev_per_atom": -0.78, "dos_ef_per_ev_cell": 12.901, "volume_a3_per_fu": 356.56, "lattice": [[7.0911, 0.0000, 0.0000], [0.0000, 7.0911, 0.0000], [0.0000, 0.0000, 7.0911]], "species": ["Rb", "Hg", "Hg", "Hg", "C"], "fractional_positions": [[0.0000, 0.0000, 0.0000], [0.0000, 0.0000, 0.5000], [0.0000, 0.5000, 0.0000], [0.5000, 0.0000, 0.0000], [0.5000, 0.5000, 0.5000]]}

---

{"formula": "Rb2TlHgC", "functional": "PBE", "state": "relaxed", "spacegroup": "No. 123", "total_energy_ev_per_atom": -1.99, "dos_ef_per_ev_cell": 4.017, "volume_a3_per_fu": 199.97, "lattice": [[7.1012, 0.0000, 0.0000], [0.0000, 7.1012, 0.0000], [0.0000, 0.0000, 3.9655]], "species": ["Rb", "Rb", "Tl", "Hg", "C"], "fractional_positions": [[0.0000, 0.5000, 0.0000], [0.5000, 0.0000, 0.0000], [0.0000, 0.0000, 0.5000], [0.5000, 0.5000, 0.0000], [0.5000, 0.5000, 0.5000]]}

---

{"formula": "Re3HgC", "functional": "PBE", "state": "relaxed", "spacegroup": "No. 221", "total_energy_ev_per_atom": -8.70, "dos_ef_per_ev_cell": 3.733, "volume_a3_per_fu": 71.81, "lattice": [[4.1566, 0.0000, 0.0000], [0.0000, 4.1566, 0.0000], [0.0000, 0.0000, 4.1566]], "species": ["Re", "Re", "Re", "Hg", "C"], "fractional_positions": [[0.0000, 0.0000, 0.5000], [0.0000, 0.5000, 0.0000], [0.5000, 0.0000, 0.0000], [0.5000, 0.5000, 0.5000], [0.0000, 0.0000, 0.0000]]}

---

{"formula": "ReHgC3", "functional": "PBE", "state": "relaxed", "spacegroup": "No. 221", "total_energy_ev_per_atom": -6.25, "dos_ef_per_ev_cell": 3.606, "volume_a3_per_fu": 69.41, "lattice": [[4.1097, 0.0000, 0.0000], [0.0000, 4.1097, 0.0000], [0.0000, 0.0000, 4.1097]], "species": ["Re", "Hg", "C", "C", "C"], "fractional_positions": [[0.0000, 0.0000, 0.0000], [0.5000, 0.5000, 0.5000], [0.0000, 0.0000, 0.5000], [0.0000, 0.5000, 0.0000], [0.5000, 0.0000, 0.0000]]}

---

{"formula": "Re3HgC", "functional": "PBE", "state": "relaxed", "spacegroup": "No. 221", "total_energy_ev_per_atom": -4.72, "dos_ef_per_ev_cell": 6.647, "volume_a3_per_fu": 121.47, "lattice": [[4.9524, 0.0000, 0.0000], [0.0000, 4.9524, 0.0000], [0.0000, 0.0000, 4.9524]], "species": ["Re", "Re", "Re", "Hg", "C"], "fractional_positions": [[0.0000, 0.0000, 0.5000], [0.0000, 0.5000, 0.0000], [0.5000, 0.0000, 0.0000], [0.0000, 0.0000, 0.0000], [0.5000, 0.5000, 0.5000]]}

---

{"formula": "Re2HgC", "functional": "PBE", "state": "relaxed", "spacegroup": "No. 225", "total_energy_ev_per_atom": -6.61, "dos_ef_per_ev_cell": 13.871, "volume_a3_per_fu": 56.96, "lattice": [[6.1077, 0.0000, 0.0000], [0.0000, 6.1077, 0.0000], [0.0000, 0.0000, 6.1077]], "species": ["Re", "Re", "Re", "Re", "Re", "Re", "Re", "Re", "Hg", "Hg", "Hg", "Hg", "C", "C", "C", "C"], "fractional_positions": [[0.2500, 0.2500, 0.2500], [0.2500, 0.2500, 0.7500], [0.2500, 0.7500, 0.2500], [0.2500, 0.7500, 0.7500], [0.7500, 0.2500, 0.2500], [0.7500, 0.2500, 0.7500], [0.7500, 0.7500, 0.2500], [0.7500, 0.7500, 0.7500], [0.0000, 0.0000, 0.0000], [0.0000, 0.5000, 0.5000], [0.5000, 0.0000, 0.5000], [0.5000, 0.5000, 0.0000], [0.0000, 0.0000, 0.5000], [0.0000, 0.5000, 0.0000], [0.5000, 0.0000, 0.0000], [0.5000, 0.5000, 0.5000]]}

---

{"formula": "ReHgC3", "functional": "PBE", "state": "relaxed", "spacegroup": "No. 221", "total_energy_ev_per_atom": -4.08, "dos_ef_per_ev_cell": 3.092, "volume_a3_per_fu": 69.34, "lattice": [[4.1084, 0.0000, 0.0000], [0.0000, 4.1084, 0.0000], [0.0000, 0.0000, 4.1084]], "species": ["Re", "Hg", "C", "C", "C"], "fractional_positions": [[0.0000, 0.0000, 0.0000], [0.5000, 0.5000, 0.5000], [0.0000, 0.5000, 0.5000], [0.5000, 0.0000, 0.5000], [0.5000, 0.5000, 0.0000]]}

---

{"formula": "Re2HgC", "functional": "PBE", "state": "relaxed", "spacegroup": "No. 122", "total_energy_ev_per_atom": -7.29, "dos_ef_per_ev_cell": 16.570, "volume_a3_per_fu": 73.37, "lattice": [[4.9561, 0.0000, 0.0000], [0.0000, 4.9561, 0.0000], [0.0000, 0.0000, 11.9483]], "species": ["Re", "Re", "Re", "Re", "Re", "Re", "Re", "Re", "Hg", "Hg", "Hg", "Hg", "C", "C", "C", "C"], "fractional_positions": [[0.0931, 0.2500, 0.1250], [0.2500, 0.5931, 0.3750], [0.2500, 0.9069, 0.8750], [0.4069, 0.2500, 0.6250], [0.5931, 0.7500, 0.6250], [0.7500, 0.0931, 0.8750], [0.7500, 0.4069, 0.3750], [0.9069, 0.7500, 0.1250], [0.0000, 0.0000, 0.5000], [0.0000, 0.5000, 0.7500], [0.5000, 0.0000, 0.2500], [0.5000, 0.5000, 0.0000], [0.0000, 0.0000, 0.0000], [0.0000, 0.5000, 0.2500], [0.5000, 0.0000, 0.7500], [0.5000, 0.5000, 0.5000]]}

---

{"formula": "ReHg2C", "functional": "PBE", "state": "relaxed", "spacegroup": "No. 122", "total_energy_ev_per_atom": -4.23, "dos_ef_per_ev_cell": 10.208, "volume_a3_per_fu": 78.77, "lattice": [[8.8716, 0.0000, 0.0000], [0.0000, 8.8716, 0.0000], [0.0000, 0.0000, 4.0034]], "species": ["Re", "Re", "Re", "Re", "Hg", "Hg", "Hg", "Hg", "Hg", "Hg", "Hg", "Hg", "C", "C", "C", "C"], "fractional_positions": [[0.0000, 0.0000, 0.0000], [0.0000, 0.5000, 0.2500], [0.5000, 0.0000, 0.7500], [0.5000, 0.5000, 0.5000], [0.1228, 0.2500, 0.6250], [0.2500, 0.6228, 0.8750], [0.2500, 0.8772, 0.3750], [0.3772, 0.2500, 0.1250], [0.6228, 0.7500, 0.1250], [0.7500, 0.1228, 0.3750], [0.7500, 0.3772, 0.8750], [0.8772, 0.7500, 0.6250], [0.0000, 0.0000, 0.5000], [0.0000, 0.5000, 0.7500], [0.5000, 0.0000, 0.2500], [0.5000, 0.5000, 0.0000]]}

---

{"formula": "ReHgC2", "functional": "PBE", "state": "relaxed", "spacegroup": "No. 122", "total_energy_ev_per_atom": -6.74, "dos_ef_per_ev_cell": 8.036, "volume_a3_per_fu": 61.49, "lattice": [[5.0862, 0.0000, 0.0000], [0.0000, 5.0862, 0.0000], [0.0000, 0.0000, 9.5076]], "species": ["Re", "Re", "Re", "Re", "Hg", "Hg", "Hg", "Hg", "C", "C", "C", "C", "C", "C", "C", "C"], "fractional_positions": [[0.0000, 0.0000, 0.0000], [0.0000, 0.5000, 0.2500], [0.5000, 0.0000, 0.7500], [0.5000, 0.5000, 0.5000], [0.0000, 0.0000, 0.5000], [0.0000, 0.5000, 0.7500], [0.5000, 0.0000, 0.2500], [0.5000, 0.5000, 0.0000], [0.1714, 0.2500, 0.1250], [0.2500, 0.6714, 0.3750], [0.2500, 0.8286, 0.8750], [0.3286, 0.2500, 0.6250], [0.6714, 0.7500, 0.6250], [0.7500, 0.1714, 0.8750], [0.7500, 0.3286, 0.3750], [0.8286, 0.7500, 0.1250]]}

---

{"formula": "ScRe2HgC", "functional": "PBE", "state": "relaxed", "spacegroup": "No. 123", "total_energy_ev_per_atom": -5.45, "dos_ef_per_ev_cell": 5.599, "volume_a3_per_fu": 101.04, "lattice": [[5.1418, 0.0000, 0.0000], [0.0000, 5.1418, 0.0000], [0.0000, 0.0000, 3.8217]], "species": ["Sc", "Re", "Re", "Hg", "C"], "fractional_positions": [[0.0000, 0.0000, 0.0000], [0.0000, 0.5000, 0.5000], [0.5000, 0.0000, 0.5000], [0.5000, 0.5000, 0.5000], [0.5000, 0.5000, 0.0000]]}

---

{"formula": "Y2ReHgC", "functional": "PBE", "state": "relaxed", "spacegroup": "No. 123", "total_energy_ev_per_atom": -7.31, "dos_ef_per_ev_cell": 3.210, "volume_a3_per_fu": 100.71, "lattice": [[5.0212, 0.0000, 0.0000], [0.0000, 5.0212, 0.0000], [0.0000, 0.0000, 3.9944]], "species": ["Y", "Y", "Re", "Hg", "C"], "fractional_positions": [[0.0000, 0.5000, 0.0000], [0.5000, 0.0000, 0.0000], [0.0000, 0.0000, 0.5000], [0.5000, 0.5000, 0.5000], [0.0000, 0.0000, 0.0000]]}

---

{"formula": "ZnReHg2C", "functional": "PBE", "state": "relaxed", "spacegroup": "No. 123", "total_energy_ev_per_atom": -3.57, "dos_ef_per_ev_cell": 3.762, "volume_a3_per_fu": 90.22, "lattice": [[4.7404, 0.0000, 0.0000], [0.0000, 4.7404, 0.0000], [0.0000, 0.0000, 4.0151]], "species": ["Zn", "Re", "Hg", "Hg", "C"], "fractional_positions": [[0.0000, 0.0000, 0.0000], [0.5000, 0.5000, 0.0000], [0.0000, 0.5000, 0.5000], [0.5000, 0.0000, 0.5000], [0.5000, 0.5000, 0.5000]]}

---

{"formula": "HgRh2C2", "functional": "PBE", "state": "relaxed", "spacegroup": "No. 127", "total_energy_ev_per_atom": -5.44, "dos_ef_per_ev_cell": 4.996, "volume_a3_per_fu": 72.82, "lattice": [[7.1334, 0.0000, 0.0000], [0.0000, 7.1334, 0.0000], [0.0000, 0.0000, 2.8620]], "species": ["Hg", "Hg", "Rh", "Rh", "Rh", "Rh", "C", "C", "C", "C"], "fractional_positions": [[0.0000, 0.0000, 0.0000], [0.5000, 0.5000, 0.0000], [0.1509, 0.3491, 0.0000], [0.3491, 0.8491, 0.0000], [0.6509, 0.1509, 0.0000], [0.8491, 0.6509, 0.0000], [0.0692, 0.5692, 0.5000], [0.4308, 0.0692, 0.5000], [0.5692, 0.9308, 0.5000], [0.9308, 0.4308, 0.5000]]}

---

{"formula": "HgRhC3", "functional": "PBE", "state": "relaxed", "spacegroup": "No. 221", "total_energy_ev_per_atom": -4.72, "dos_ef_per_ev_cell": 4.129, "volume_a3_per_fu": 67.55, "lattice": [[4.0726, 0.0000, 0.0000], [0.0000, 4.0726, 0.0000], [0.0000, 0.0000, 4.0726]], "species": ["Hg", "Rh", "C", "C", "C"], "fractional_positions": [[0.0000, 0.0000, 0.0000], [0.5000, 0.5000, 0.5000], [0.0000, 0.5000, 0.5000], [0.5000, 0.0000, 0.5000], [0.5000, 0.5000, 0.0000]]}

---

{"formula": "HgRhC3", "functional": "PBE", "state": "relaxed", "spacegroup": "No. 221", "total_energy_ev_per_atom": -3.43, "dos_ef_per_ev_cell": 3.674, "volume_a3_per_fu": 74.16, "lattice": [[4.2013, 0.0000, 0.0000], [0.0000, 4.2013, 0.0000], [0.0000, 0.0000, 4.2013]], "species": ["Hg", "Rh", "C", "C", "C"], "fractional_positions": [[0.0000, 0.0000, 0.0000], [0.5000, 0.5000, 0.5000], [0.0000, 0.0000, 0.5000], [0.0000, 0.5000, 0.0000], [0.5000, 0.0000, 0.0000]]}

---

{"formula": "HgRh3C", "functional": "PBE", "state": "relaxed", "spacegroup": "No. 221", "total_energy_ev_per_atom": -6.20, "dos_ef_per_ev_cell": 5.808, "volume_a3_per_fu": 70.74, "lattice": [[4.1358, 0.0000, 0.0000], [0.0000, 4.1358, 0.0000], [0.0000, 0.0000, 4.1358]], "species": ["Hg", "Rh", "Rh", "Rh", "C"], "fractional_positions": [[0.0000, 0.0000, 0.0000], [0.0000, 0.5000, 0.5000], [0.5000, 0.0000, 0.5000], [0.5000, 0.5000, 0.0000], [0.5000, 0.5000, 0.5000]]}

---

{"formula": "HgRh3C", "functional": "PBE", "state": "relaxed", "spacegroup": "No. 221", "total_energy_ev_per_atom": -3.24, "dos_ef_per_ev_cell": 6.577, "volume_a3_per_fu": 123.17, "lattice": [[4.9755, 0.0000, 0.0000], [0.0000, 4.9755, 0.0000], [0.0000, 0.0000, 4.9755]], "species": ["Hg", "Rh", "Rh", "Rh", "C"], "fractional_positions": [[0.0000, 0.0000, 0.0000], [0.0000, 0.0000, 0.5000], [0.0000, 0.5000, 0.0000], [0.5000, 0.0000, 0.0000], [0.5000, 0.5000, 0.5000]]}

---

{"formula": "HgRh2C2", "functional": "PBE", "state": "relaxed", "spacegroup": "No. 139", "total_energy_ev_per_atom": -5.92, "dos_ef_per_ev_cell": 3.558, "volume_a3_per_fu": 67.39, "lattice": [[3.2574, 0.0000, 0.0000], [0.0000, 3.2574, 0.0000], [0.0000, 0.0000, 12.7016]], "species": ["Hg", "Hg", "Rh", "Rh", "Rh", "Rh", "C", "C", "C", "C"], "fractional_positions": [[0.0000, 0.0000, 0.0000], [0.5000, 0.5000, 0.5000], [0.0000, 0.0000, 0.3456], [0.0000, 0.0000, 0.6544], [0.5000, 0.5000, 0.1544], [0.5000, 0.5000, 0.8456], [0.0000, 0.5000, 0.2500], [0.0000, 0.5000, 0.7500], [0.5000, 0.0000, 0.2500], [0.5000, 0.0000, 0.7500]]}

---

{"formula": "Hg2SbRhC", "functional": "PBE", "state": "relaxed", "spacegroup": "No. 123", "total_energy_ev_per_atom": -2.51, "e_form_raw_ev_per_atom": 1.75, "dos_ef_per_ev_cell": 6.197, "volume_a3_per_fu": 129.79, "lattice": [[5.6334, 0.0000, 0.0000], [0.0000, 5.6334, 0.0000], [0.0000, 0.0000, 4.0897]], "species": ["Hg", "Hg", "Sb", "Rh", "C"], "fractional_positions": [[0.0000, 0.5000, 0.0000], [0.5000, 0.0000, 0.0000], [0.0000, 0.0000, 0.0000], [0.5000, 0.5000, 0.5000], [0.0000, 0.0000, 0.5000]]}

---

{"formula": "Sc2HgRhC", "functional": "PBE", "state": "relaxed", "spacegroup": "No. 123", "total_energy_ev_per_atom": -6.43, "dos_ef_per_ev_cell": 3.538, "volume_a3_per_fu": 84.57, "lattice": [[4.6115, 0.0000, 0.0000], [0.0000, 4.6115, 0.0000], [0.0000, 0.0000, 3.9767]], "species": ["Sc", "Sc", "Hg", "Rh", "C"], "fractional_positions": [[0.0000, 0.5000, 0.0000], [0.5000, 0.0000, 0.0000], [0.0000, 0.0000, 0.5000], [0.5000, 0.5000, 0.5000], [0.5000, 0.5000, 0.0000]]}

---

{"formula": "SiHg2RhC", "functional": "PBE", "state": "relaxed", "spacegroup": "No. 123", "total_energy_ev_per_atom": -3.41, "e_form_raw_ev_per_atom": 1.11, "dos_ef_per_ev_cell": 4.042, "volume_a3_per_fu": 84.48, "lattice": [[4.8633, 0.0000, 0.0000], [0.0000, 4.8633, 0.0000], [0.0000, 0.0000, 3.5717]], "species": ["Si", "Hg", "Hg", "Rh", "C"], "fractional_positions": [[0.0000, 0.0000, 0.0000], [0.0000, 0.5000, 0.5000], [0.5000, 0.0000, 0.5000], [0.5000, 0.5000, 0.0000], [0.0000, 0.0000, 0.5000]]}

---

{"formula": "Sr2HgRhC", "functional": "PBE", "state": "relaxed", "spacegroup": "No. 123", "total_energy_ev_per_atom": -4.29, "dos_ef_per_ev_cell": 2.479, "volume_a3_per_fu": 121.55, "lattice": [[5.5780, 0.0000, 0.0000], [0.0000, 5.5780, 0.0000], [0.0000, 0.0000, 3.9065]], "species": ["Sr", "Sr", "Hg", "Rh", "C"], "fractional_positions": [[0.0000, 0.5000, 0.0000], [0.5000, 0.0000, 0.0000], [0.0000, 0.0000, 0.5000], [0.5000, 0.5000, 0.5000], [0.5000, 0.5000, 0.0000]]}

---

{"formula": "SrHgRh2C", "functional": "PBE", "state": "relaxed", "spacegroup": "No. 123", "total_energy_ev_per_atom": -5.06, "dos_ef_per_ev_cell": 2.415, "volume_a3_per_fu": 90.22, "lattice": [[4.1639, 0.0000, 0.0000], [0.0000, 4.1639, 0.0000], [0.0000, 0.0000, 5.2036]], "species": ["Sr", "Hg", "Rh", "Rh", "C"], "fractional_positions": [[0.0000, 0.0000, 0.0000], [0.5000, 0.5000, 0.0000], [0.0000, 0.5000, 0.5000], [0.5000, 0.0000, 0.5000], [0.0000, 0.0000, 0.5000]]}

---

{"formula": "TaHgRhC2", "functional": "PBE", "state": "relaxed", "spacegroup": "No. 123", "total_energy_ev_per_atom": -4.74, "dos_ef_per_ev_cell": 6.660, "volume_a3_per_fu": 84.47, "lattice": [[4.0727, 0.0000, 0.0000], [0.0000, 4.0727, 0.0000], [0.0000, 0.0000, 5.0929]], "species": ["Ta", "Hg", "Rh", "C", "C"], "fractional_positions": [[0.0000, 0.0000, 0.0000], [0.5000, 0.5000, 0.5000], [0.5000, 0.5000, 0.0000], [0.0000, 0.5000, 0.5000], [0.5000, 0.0000, 0.5000]]}

---

{"formula": "Th6HgRh2C3", "functional": "PBE", "state": "relaxed", "spacegroup": "No. 12", "total_energy_ev_per_atom": -7.63, "dos_ef_per_ev_cell": 10.201, "volume_a3_per_fu": 266.61, "lattice": [[9.4313, -1.9092, 0.0000], [9.4313, 1.9092, 0.0000], [-3.4813, 0.0000, 7.4034]], "species": ["Th", "Th", "Th", "Th", "Th", "Th", "Hg", "Rh", "Rh", "C", "C", "C"], "fractional_positions": [[0.0309, 0.0309, 0.2240], [0.3179, 0.3179, 0.4424], [0.3383, 0.3383, 0.9407], [0.6617, 0.6617, 0.0593], [0.6821, 0.6821, 0.5576], [0.9691, 0.9691, 0.7760], [0.5000, 0.5000, 0.5000], [0.1437, 0.1437, 0.7716], [0.8563, 0.8563, 0.2284], [0.1734, 0.1734, 0.2987], [0.5000, 0.5000, 0.0000], [0.8266, 0.8266, 0.7013]]}

---

{"formula": "Ti2HgRhC", "functional": "PBE", "state": "relaxed", "spacegroup": "No. 123", "total_energy_ev_per_atom": -5.85, "dos_ef_per_ev_cell": 5.809, "volume_a3_per_fu": 93.52, "lattice": [[4.9504, 0.0000, 0.0000], [0.0000, 4.9504, 0.0000], [0.0000, 0.0000, 3.8161]], "species": ["Ti", "Ti", "Hg", "Rh", "C"], "fractional_positions": [[0.0000, 0.5000, 0.0000], [0.5000, 0.0000, 0.0000], [0.0000, 0.0000, 0.5000], [0.5000, 0.5000, 0.0000], [0.5000, 0.5000, 0.5000]]}

---

{"formula": "VHgRhC2", "functional": "PBE", "state": "relaxed", "spacegroup": "No. 123", "total_energy_ev_per_atom": -5.09, "dos_ef_per_ev_cell": 10.101, "volume_a3_per_fu": 82.28, "lattice": [[3.9211, 0.0000, 0.0000], [0.0000, 3.9211, 0.0000], [0.0000, 0.0000, 5.3517]], "species": ["V", "Hg", "Rh", "C", "C"], "fractional_positions": [[0.0000, 0.0000, 0.0000], [0.5000, 0.5000, 0.0000], [0.5000, 0.5000, 0.5000], [0.0000, 0.5000, 0.5000], [0.5000, 0.0000, 0.5000]]}